# Li2LaFeS

A crystal of Li2LaFeS relaxed with PBEsol (meta-GGA SCAN, Alexandria via LeMat-Bulk).

Symmetry   No. 123
V   82.6 Å³/f.u.
Density of states at the Fermi level   0.428 states/eV per atom
ΔE_f (raw)   -5.8 kcal/mol of atoms

Cell lengths 4.113, 4.481, 4.481 Å; angles 90.00, 90.00, 90.00 degrees
Positions (direct):
S1 0.500 0.000 0.000
Li1 0.000 0.000 0.500
Li2 0.000 0.500 0.000
Fe1 0.000 0.000 0.000
La1 0.500 0.500 0.500